No. 1
The following is a DFT calculation (PBE-GGA) of a geometry-optimized BeReBMo structure.

Output
Final energy = -8.203 eV/atom
Distance to the lowest polymorph of the same formula = 0.000 eV per atom

a b c (Å): 5.607 5.607 5.607
angles (deg): 90.00 90.00 90.00
Space group F-43m (No. 216)
Inequivalent atoms, fractional coordinates:
Be: 0.000 0.000 0.000 (multiplicity 4)
Re: 0.250 0.250 0.250 (multiplicity 4)
B: 0.000 0.000 0.500 (multiplicity 4)
Mo: 0.250 0.250 0.750 (multiplicity 4)



No. 2
The following is a DFT calculation (PBE-GGA) of a geometry-optimized BeNb2B structure.

Output
Final energy = -6.875 eV/atom
Distance to the lowest polymorph of the same formula = 1.293 eV per atom

a b c (Å): 5.991 5.991 5.991
angles (deg): 90.00 90.00 90.00
Space group F-43m (No. 216)
Inequivalent atoms, fractional coordinates:
Be: 0.000 0.000 0.000 (multiplicity 4)
Nb: 0.000 0.000 0.500 (multiplicity 4)
Nb: 0.250 0.250 0.250 (multiplicity 4)
B: 0.250 0.250 0.750 (multiplicity 4)



No. 3
The following is a DFT calculation (PBE-GGA) of a geometry-optimized BeNbB structure.

Output
Final energy = -7.439 eV/atom
Distance to the lowest polymorph of the same formula = 0.000 eV per atom

a b c (Å): 3.151 3.389 11.493
angles (deg): 90.00 90.00 90.00
Space group Imma (No. 74)
Inequivalent atoms, fractional coordinates:
Be: 0.000 0.250 0.045 (multiplicity 4)
Nb: 0.000 0.250 0.634 (multiplicity 4)
B: 0.000 0.250 0.211 (multiplicity 4)



No. 4
The following is a DFT calculation (PBE-GGA) of a geometry-optimized BeNbB structure.

Output
Final energy = -6.064 eV/atom
Distance to the lowest polymorph of the same formula = 1.375 eV per atom

a b c (Å): 5.372 5.372 5.372
angles (deg): 90.00 90.00 90.00
Space group F-43m (No. 216)
Inequivalent atoms, fractional coordinates:
Be: 0.000 0.000 0.000 (multiplicity 4)
Nb: 0.250 0.250 0.750 (multiplicity 4)
B: 0.000 0.000 0.500 (multiplicity 4)



No. 5
The following is a DFT calculation (PBE-GGA) of a geometry-optimized BeNb2B3 structure.

Output
Final energy = -8.035 eV/atom

a b c (Å): 6.403 6.564 11.073
angles (deg): 90.00 90.00 90.00
Space group Fmmm (No. 69)
Inequivalent atoms, fractional coordinates:
Be: 0.000 0.000 0.167 (multiplicity 8)
Nb: 0.000 0.249 0.500 (multiplicity 8)
Nb: 0.250 0.250 0.250 (multiplicity 8)
B: 0.000 0.000 0.338 (multiplicity 8)
B: 0.243 0.000 0.419 (multiplicity 16)



No. 6
The following is a DFT calculation (PBE-GGA) of a geometry-optimized BeNb2B structure.

Output
Final energy = -8.168 eV/atom
Distance to the lowest polymorph of the same formula = 0.000 eV per atom

a b c (Å): 4.784 3.285 6.708
angles (deg): 90.00 110.60 90.00
Space group P2_1/m (No. 11)
Inequivalent atoms, fractional coordinates:
Be: 0.127 0.250 0.279 (multiplicity 2)
Nb: 0.287 0.750 0.578 (multiplicity 2)
Nb: 0.297 0.750 0.069 (multiplicity 2)
B: 0.128 0.250 0.784 (multiplicity 2)



No. 7
The following is a DFT calculation (PBE-GGA) of a geometry-optimized Be2NbB structure.

Output
Final energy = -5.691 eV/atom

a b c (Å): 5.466 5.466 5.466
angles (deg): 90.00 90.00 90.00
Space group F-43m (No. 216)
Inequivalent atoms, fractional coordinates:
Be: 0.000 0.000 0.000 (multiplicity 4)
Be: 0.250 0.250 0.250 (multiplicity 4)
Nb: 0.000 0.000 0.500 (multiplicity 4)
B: 0.250 0.250 0.750 (multiplicity 4)



No. 8
The following is a DFT calculation (PBE-GGA) of a geometry-optimized BeNbNiB structure.

Output
Final energy = -6.395 eV/atom
Distance to the lowest polymorph of the same formula = 0.060 eV per atom

a b c (Å): 5.612 5.612 5.612
angles (deg): 90.00 90.00 90.00
Space group F-43m (No. 216)
Inequivalent atoms, fractional coordinates:
Be: 0.000 0.000 0.000 (multiplicity 4)
Nb: 0.000 0.000 0.500 (multiplicity 4)
Ni: 0.250 0.250 0.750 (multiplicity 4)
B: 0.250 0.250 0.250 (multiplicity 4)